Entry 1:
DFT (GGA-PBE) results for crystalline Ga2SnPt at its relaxed geometry.

crystal system: trigonal
mass density: 8.951 g/cm3
E_form: -110.1 kJ/mol of formula units
total moment: 0.000 μB/cell

abc: 5.8969 5.8969 5.8969
angles: 42.30 42.30 42.30
Fractional positions:
Ga 0.0000 0.0000 0.0000
Ga 0.2221 0.2221 0.2221
Sn 0.4358 0.4358 0.4358
Pt 0.6076 0.6076 0.6076



Entry 2:
DFT (GGA-PBE) results for crystalline KGe3Te at its relaxed geometry.

uncorrected formation energy: 1.47 eV/atom
crystal system: cubic
mass density: 3.761 g/cm3
total moment: 0.000 μB/cell

abc: 5.5375 5.5375 5.5375
angles: 90.00 90.00 90.00
Fractional positions:
K 0.0000 0.0000 0.0000
Ge 0.0000 0.0000 0.5000
Ge 0.0000 0.5000 0.0000
Ge 0.5000 0.0000 0.0000
Te 0.5000 0.5000 0.5000



Entry 3:
DFT (GGA-PBE) results for crystalline SiNi2Rh at its relaxed geometry.

uncorrected formation energy: -0.32 eV/atom
crystal system: tetragonal
mass density: 8.644 g/cm3
total moment: 0.004 μB/cell

abc: 4.4424 4.4424 4.4424
angles: 131.82 131.82 70.52
Fractional positions:
Si 0.0000 0.0000 0.0000
Ni 0.2500 0.7500 0.5000
Ni 0.7500 0.2500 0.5000
Rh 0.5000 0.5000 0.0000



Entry 4:
DFT (GGA-PBE) results for crystalline SmCoBi at its relaxed geometry.

crystal system: orthorhombic
mass density: 9.402 g/cm3
E_form: -9.1 kJ/mol of formula units
total moment: 1.101 μB/cell

abc: 6.4830 5.8294 5.7255
angles: 68.25 56.63 55.11
Fractional positions:
Sm 0.2461 0.7539 0.2461
Sm 0.7539 0.2461 0.7539
Co 0.2500 0.2500 0.2500
Co 0.7500 0.7500 0.7500
Bi 0.2535 0.2535 0.7465
Bi 0.7465 0.7465 0.2535



Entry 5:
DFT (GGA-PBE) results for crystalline ScTcP2 at its relaxed geometry.

crystal system: tetragonal
mass density: 5.511 g/cm3
E_form: -129.2 kJ/mol of formula units
total moment: 0.877 μB/cell

abc: 5.4155 5.4155 5.4155
angles: 141.25 141.25 55.96
Fractional positions:
Sc 0.0000 0.0000 0.0000
Tc 0.2500 0.7500 0.5000
P 0.5000 0.5000 0.0000
P 0.7500 0.2500 0.5000



Entry 6:
DFT (GGA-PBE) results for crystalline Nd6Bi2TeAs3 at its relaxed geometry.

uncorrected formation energy: -1.33 eV/atom
crystal system: monoclinic
mass density: 7.407 g/cm3
total moment: 0.000 μB/cell

abc: 9.9162 9.9162 8.9003
angles: 103.87 103.87 25.61
Fractional positions:
Nd 0.0051 0.0051 0.2355
Nd 0.3282 0.3282 0.4292
Nd 0.3381 0.3381 0.9047
Nd 0.6619 0.6619 0.0953
Nd 0.6718 0.6718 0.5708
Nd 0.9949 0.9949 0.7645
Bi 0.1662 0.1662 0.8323
Bi 0.8338 0.8338 0.1677
Te 0.5000 0.5000 0.5000
As 0.1662 0.1662 0.3338
As 0.5000 0.5000 0.0000
As 0.8338 0.8338 0.6662



Entry 7:
DFT (GGA-PBE) results for crystalline CsLaNO2 at its relaxed geometry.

uncorrected formation energy: -0.99 eV/atom
crystal system: tetragonal
mass density: 4.618 g/cm3
total moment: 2.828 μB/cell

abc: 4.6470 4.6470 5.2925
angles: 90.00 90.00 90.00
Fractional positions:
Cs 0.0000 0.0000 0.0000
La 0.5000 0.5000 0.5000
N 0.5000 0.5000 0.0000
O 0.0000 0.5000 0.5000
O 0.5000 0.0000 0.5000



Entry 8:
DFT (GGA-PBE) results for crystalline MgHPd2 at its relaxed geometry.

energy: -4.1548 eV/atom
crystal system: trigonal
mass density: 7.876 g/cm3
total moment: 0.000 μB/cell

abc: 6.8337 6.8337 6.8337
angles: 25.02 25.02 25.02
Fractional positions:
Mg 0.0000 0.0000 0.0000
H 0.5000 0.5000 0.5000
Pd 0.2262 0.2262 0.2262
Pd 0.7738 0.7738 0.7738



Entry 9:
DFT (GGA-PBE) results for crystalline TaRe2Au at its relaxed geometry.

crystal system: orthorhombic
mass density: 18.938 g/cm3
E_form: 85.2 kJ/mol of formula units
total moment: 0.000 μB/cell

abc: 2.7609 2.7609 9.0381
angles: 90.00 90.00 107.26
Fractional positions:
Ta 0.0000 0.0000 0.0000
Re 0.0000 0.0000 0.5260
Re 0.5000 0.5000 0.7556
Au 0.5000 0.5000 0.2603



Entry 10:
DFT (GGA-PBE) results for crystalline Pr4AlGaAg2 at its relaxed geometry.

crystal system: trigonal
mass density: 6.756 g/cm3
E_form: -259.1 kJ/mol of formula units
total moment: 0.004 μB/cell

abc: 9.2619 9.2619 9.2619
angles: 33.48 33.48 33.48
Fractional positions:
Pr 0.1228 0.1228 0.1228
Pr 0.3732 0.3732 0.3732
Pr 0.6268 0.6268 0.6268
Pr 0.8772 0.8772 0.8772
Al 0.5000 0.5000 0.5000
Ga 0.0000 0.0000 0.0000
Ag 0.2450 0.2450 0.2450
Ag 0.7550 0.7550 0.7550



Entry 11:
DFT (GGA-PBE) results for crystalline Mg3ScGa at its relaxed geometry.

crystal system: cubic
mass density: 1.724 g/cm3
E_form: 466.7 kJ/mol of formula units
total moment: 0.504 μB/cell

abc: 5.6529 5.6529 5.6529
angles: 90.00 90.00 90.00
Fractional positions:
Mg 0.0000 0.0000 0.5000
Mg 0.0000 0.5000 0.0000
Mg 0.5000 0.0000 0.0000
Sc 0.0000 0.0000 0.0000
Ga 0.5000 0.5000 0.5000



Entry 12:
DFT (GGA-PBE) results for crystalline Li2Ce5Tl12 at its relaxed geometry.

crystal system: monoclinic
mass density: 9.571 g/cm3
E_form: -152.7 kJ/mol of formula units
total moment: 5.978 μB/cell

abc: 9.4084 9.4084 8.6530
angles: 92.52 92.52 45.90
Fractional positions:
Li 0.1767 0.8233 0.0000
Li 0.8233 0.1767 0.0000
Ce 0.1622 0.1622 0.7399
Ce 0.2815 0.2815 0.2530
Ce 0.5000 0.5000 0.5000
Ce 0.7185 0.7185 0.7470
Ce 0.8378 0.8378 0.2601
Tl 0.0306 0.0306 0.3184
Tl 0.1078 0.5665 0.9321
Tl 0.1201 0.5548 0.5715
Tl 0.4335 0.8922 0.0679
Tl 0.4452 0.8799 0.4285
Tl 0.4572 0.4572 0.1489
Tl 0.5428 0.5428 0.8511
Tl 0.5548 0.1201 0.5715
Tl 0.5665 0.1078 0.9321
Tl 0.8799 0.4452 0.4285
Tl 0.8922 0.4335 0.0679
Tl 0.9694 0.9694 0.6816



Entry 13:
DFT (GGA-PBE) results for crystalline Y4MgPd5 at its relaxed geometry.

crystal system: tetragonal
mass density: 7.306 g/cm3
E_form: -804.7 kJ/mol of formula units
total moment: 0.000 μB/cell

abc: 3.4640 3.4640 17.2755
angles: 90.00 90.00 90.00
Fractional positions:
Y 0.0000 0.0000 0.1043
Y 0.0000 0.0000 0.3133
Y 0.0000 0.0000 0.6867
Y 0.0000 0.0000 0.8957
Mg 0.0000 0.0000 0.5000
Pd 0.5000 0.5000 0.0000
Pd 0.5000 0.5000 0.2088
Pd 0.5000 0.5000 0.4141
Pd 0.5000 0.5000 0.5859
Pd 0.5000 0.5000 0.7912



Entry 14:
DFT (GGA-PBE) results for crystalline LaTaSb3 at its relaxed geometry.

uncorrected formation energy: -0.08 eV/atom
crystal system: cubic
mass density: 7.329 g/cm3
total moment: 0.000 μB/cell

abc: 5.3743 5.3743 5.3743
angles: 90.00 90.00 90.00
Fractional positions:
La 0.0000 0.0000 0.0000
Ta 0.5000 0.5000 0.5000
Sb 0.0000 0.5000 0.5000
Sb 0.5000 0.0000 0.5000
Sb 0.5000 0.5000 0.0000



Entry 15:
DFT (GGA-PBE) results for crystalline DyU3Tl4Te8 at its relaxed geometry.

uncorrected formation energy: -0.64 eV/atom
crystal system: trigonal
mass density: 8.016 g/cm3
total moment: 9.001 μB/cell

abc: 9.7511 9.7511 9.7511
angles: 53.91 53.91 53.91
Fractional positions:
Dy 0.0000 0.0000 0.0000
U 0.0000 0.5000 0.5000
U 0.5000 0.0000 0.5000
U 0.5000 0.5000 0.0000
Tl 0.0000 0.0000 0.5000
Tl 0.0000 0.5000 0.0000
Tl 0.5000 0.0000 0.0000
Tl 0.5000 0.5000 0.5000
Te 0.2374 0.2374 0.7409
Te 0.2374 0.7409 0.2374
Te 0.2591 0.7626 0.7626
Te 0.2610 0.2610 0.2610
Te 0.7390 0.7390 0.7390
Te 0.7409 0.2374 0.2374
Te 0.7626 0.2591 0.7626
Te 0.7626 0.7626 0.2591



Entry 16:
DFT (GGA-PBE) results for crystalline HfTi6Tl2 at its relaxed geometry.

crystal system: orthorhombic
mass density: 8.261 g/cm3
E_form: 162.0 kJ/mol of formula units
total moment: 0.002 μB/cell

abc: 7.3970 7.3970 7.3970
angles: 141.15 135.61 60.44
Fractional positions:
Hf 0.0000 0.0000 0.0000
Ti 0.1225 0.3899 0.7325
Ti 0.2122 0.2122 0.0000
Ti 0.3426 0.6101 0.7325
Ti 0.6574 0.3899 0.2675
Ti 0.7878 0.7878 0.0000
Ti 0.8775 0.6101 0.2675
Tl 0.3495 0.8495 0.5000
Tl 0.6505 0.1505 0.5000



Entry 17:
DFT (GGA-PBE) results for crystalline ZrGe3Pd at its relaxed geometry.

crystal system: cubic
mass density: 5.111 g/cm3
E_form: 350.9 kJ/mol of formula units
total moment: 0.000 μB/cell

abc: 5.1300 5.1300 5.1300
angles: 90.00 90.00 90.00
Fractional positions:
Zr 0.0000 0.0000 0.0000
Ge 0.0000 0.0000 0.5000
Ge 0.0000 0.5000 0.0000
Ge 0.5000 0.0000 0.0000
Pd 0.5000 0.5000 0.5000



Entry 18:
DFT (GGA-PBE) results for crystalline LaAgAu at its relaxed geometry.

crystal system: orthorhombic
mass density: 9.938 g/cm3
E_form: -163.9 kJ/mol of formula units
total moment: 0.000 μB/cell

abc: 6.0478 6.0478 6.0478
angles: 132.51 104.88 93.86
Fractional positions:
La 0.2480 0.0000 0.2480
La 0.7520 0.0000 0.7520
Ag 0.3342 0.3342 0.0000
Ag 0.6658 0.6658 0.0000
Au 0.1712 0.6712 0.5000
Au 0.8288 0.3288 0.5000



Entry 19:
DFT (GGA-PBE) results for crystalline LaIn2OsAu at its relaxed geometry.

crystal system: tetragonal
mass density: 9.085 g/cm3
E_form: 50.8 kJ/mol of formula units
total moment: 0.000 μB/cell

abc: 5.1066 5.1066 5.2968
angles: 90.00 90.00 90.00
Fractional positions:
La 0.0000 0.0000 0.0000
In 0.0000 0.5000 0.5000
In 0.5000 0.0000 0.5000
Os 0.5000 0.5000 0.5000
Au 0.5000 0.5000 0.0000



Entry 20:
DFT (GGA-PBE) results for crystalline KTl6Cd6 at its relaxed geometry.

crystal system: orthorhombic
mass density: 8.655 g/cm3
E_form: -24.2 kJ/mol of formula units
total moment: 0.000 μB/cell

abc: 8.3981 8.3981 8.3981
angles: 137.44 101.41 93.76
Fractional positions:
K 0.0000 0.0000 0.0000
Tl 0.1910 0.5000 0.6910
Tl 0.3476 0.0000 0.3476
Tl 0.3576 0.3576 0.0000
Tl 0.6424 0.6424 0.0000
Tl 0.6524 0.0000 0.6524
Tl 0.8090 0.5000 0.3090
Cd 0.0000 0.0000 0.5000
Cd 0.0000 0.5000 0.0000
Cd 0.2288 0.7288 0.5000
Cd 0.5000 0.0000 0.0000
Cd 0.5000 0.5000 0.5000
Cd 0.7712 0.2712 0.5000



Entry 21:
DFT (GGA-PBE) results for crystalline Ce2ErOs at its relaxed geometry.

crystal system: trigonal
mass density: 9.243 g/cm3
E_form: 22.7 kJ/mol of formula units
total moment: 0.000 μB/cell

abc: 9.0590 9.0590 9.0590
angles: 24.75 24.75 24.75
Fractional positions:
Ce 0.2277 0.2277 0.2277
Ce 0.7723 0.7723 0.7723
Er 0.0000 0.0000 0.0000
Os 0.5000 0.5000 0.5000



Entry 22:
DFT (GGA-PBE) results for crystalline CeScAs2Rh5 at its relaxed geometry.

crystal system: tetragonal
mass density: 7.883 g/cm3
E_form: -476.7 kJ/mol of formula units
total moment: 0.819 μB/cell

abc: 4.0416 4.0416 10.9548
angles: 90.00 90.00 90.00
Fractional positions:
Ce 0.0000 0.0000 0.0000
Sc 0.0000 0.0000 0.5000
As 0.5000 0.5000 0.2190
As 0.5000 0.5000 0.7810
Rh 0.0000 0.5000 0.3337
Rh 0.0000 0.5000 0.6663
Rh 0.5000 0.0000 0.3337
Rh 0.5000 0.0000 0.6663
Rh 0.5000 0.5000 0.0000



Entry 23:
DFT (GGA-PBE) results for crystalline LaTb2Ir at its relaxed geometry.

crystal system: trigonal
mass density: 7.934 g/cm3
E_form: -79.2 kJ/mol of formula units
total moment: 0.000 μB/cell

abc: 10.8216 10.8216 10.8216
angles: 20.48 20.48 20.48
Fractional positions:
La 0.0000 0.0000 0.0000
Tb 0.1161 0.1161 0.1161
Tb 0.8839 0.8839 0.8839
Ir 0.5000 0.5000 0.5000



Entry 24:
DFT (GGA-PBE) results for crystalline PmTm2ThS4 at its relaxed geometry.

uncorrected formation energy: -1.93 eV/atom
crystal system: monoclinic
mass density: 8.088 g/cm3
total moment: 0.000 μB/cell

abc: 6.7609 3.8879 6.9581
angles: 90.00 108.83 90.00
Fractional positions:
Pm 0.0000 0.0000 0.0000
Tm 0.0000 0.5000 0.5000
Tm 0.5000 0.0000 0.5000
Th 0.5000 0.5000 0.0000
S 0.2425 0.0000 0.7299
S 0.2560 0.5000 0.2695
S 0.7440 0.5000 0.7305
S 0.7575 0.0000 0.2701



Entry 25:
DFT (GGA-PBE) results for crystalline HfFeTcPb2 at its relaxed geometry.

crystal system: tetragonal
mass density: 8.866 g/cm3
E_form: 761.9 kJ/mol of formula units
total moment: 5.213 μB/cell

abc: 5.5707 5.5707 4.5071
angles: 90.00 90.00 90.00
Fractional positions:
Hf 0.0000 0.0000 0.0000
Fe 0.0000 0.0000 0.5000
Tc 0.5000 0.5000 0.5000
Pb 0.0000 0.5000 0.0000
Pb 0.5000 0.0000 0.0000